# CeNdGa5Ir2 | Alexandria via LeMat-Bulk | PBE | optimized geometry
# Energy of formation from the pure elements (eV/f.u.): -3.23
# Theoretical density (g cm⁻³): 8.3
# Volume (Å³/atom): 22.7
data_CeNdGa5Ir2
_cell_length_a 4.7553
_cell_length_b 4.7553
_cell_length_c 9.0474
_cell_angle_alpha 90.00
_cell_angle_beta 90.00
_cell_angle_gamma 90.00
_space_group_name_H-M_alt 'P 4/m m m'
_space_group_IT_number 123
_space_group_name_Hall '-P 4 2'
loop_
_atom_site_label
_atom_site_type_symbol
_atom_site_fract_x
_atom_site_fract_y
_atom_site_fract_z
Ce1 Ce 0.0000 0.0000 0.0000
Nd1 Nd 0.0000 0.0000 0.5000
Ga1 Ga 0.0000 0.5000 0.2204
Ga2 Ga 0.5000 0.5000 0.5000
Ir1 Ir 0.5000 0.5000 0.2432



# TiNbGaMo | Alexandria via LeMat-Bulk | PBE | optimized geometry
# Energy of formation from the pure elements (eV/f.u.): -1.28
# Theoretical density (g cm⁻³): 7.8
# Volume (Å³/atom): 16.4
data_TiNbGaMo
_cell_length_a 3.2914
_cell_length_b 3.2914
_cell_length_c 6.0532
_cell_angle_alpha 90.00
_cell_angle_beta 90.00
_cell_angle_gamma 90.00
_space_group_name_H-M_alt 'P 4 m m'
_space_group_IT_number 99
loop_
_space_group_symop_operation_xyz
'x,y,z'
'-y,x,z'
'-x,-y,z'
'y,-x,z'
'-x,y,z'
'y,x,z'
'x,-y,z'
'-y,-x,z'
loop_
_atom_site_label
_atom_site_type_symbol
_atom_site_fract_x
_atom_site_fract_y
_atom_site_fract_z
Ti1 Ti 0.0000 0.0000 0.0000
Nb1 Nb 0.0000 0.0000 0.5126
Ga1 Ga 0.5000 0.5000 0.2486
Mo1 Mo 0.5000 0.5000 0.7598



# AcPr12Er7 | Alexandria via LeMat-Bulk | PBE | optimized geometry
# Energy of formation from the pure elements (eV/f.u.): 4.31
# Theoretical density (g cm⁻³): 7.3
# Volume (Å³/atom): 35.0
data_AcPr12Er7
_cell_length_a 12.4516
_cell_length_b 12.4516
_cell_length_c 15.6560
_cell_angle_alpha 90.00
_cell_angle_beta 90.00
_cell_angle_gamma 120.00
_space_group_name_H-M_alt 'R -3'
_space_group_IT_number 148
_space_group_name_Hall '-R 3'
loop_
_atom_site_label
_atom_site_type_symbol
_atom_site_fract_x
_atom_site_fract_y
_atom_site_fract_z
Ac1 Ac 0.0000 0.0000 0.0000
Pr1 Pr 0.0106 0.5752 0.7104
Pr2 Pr 0.0538 0.4616 0.0889
Er1 Er 0.0000 0.0000 0.5000
Er2 Er 0.0469 0.8609 0.8003



# MoS2NCl | Alexandria via LeMat-Bulk | PBE | optimized geometry
# Theoretical density (g cm⁻³): 4.6
# Energy relative to the elements, uncorrected (kJ/mol of formula units): 855
# Volume (Å³/atom): 15.3
data_MoS2NCl
_cell_length_a 4.7971
_cell_length_b 4.7971
_cell_length_c 3.3177
_cell_angle_alpha 90.00
_cell_angle_beta 90.00
_cell_angle_gamma 90.00
_space_group_name_H-M_alt 'P 4/m m m'
_space_group_IT_number 123
_space_group_name_Hall '-P 4 2'
loop_
_atom_site_label
_atom_site_type_symbol
_atom_site_fract_x
_atom_site_fract_y
_atom_site_fract_z
Mo1 Mo 0.0000 0.0000 0.0000
S1 S 0.0000 0.5000 0.5000
N1 N 0.5000 0.5000 0.0000
Cl1 Cl 0.5000 0.5000 0.5000



# TcSn2Pb2 | Alexandria via LeMat-Bulk | PBE | optimized geometry
# Energy of formation from the pure elements (eV/f.u.): 1.98
# Theoretical density (g cm⁻³): 9.4
# Volume (Å³/atom): 26.6
data_TcSn2Pb2
_cell_length_a 7.1814
_cell_length_b 7.1814
_cell_length_c 5.1556
_cell_angle_alpha 90.00
_cell_angle_beta 90.00
_cell_angle_gamma 90.00
_space_group_name_H-M_alt 'P 4/m b m'
_space_group_IT_number 127
_space_group_name_Hall '-P 4 2ab'
loop_
_atom_site_label
_atom_site_type_symbol
_atom_site_fract_x
_atom_site_fract_y
_atom_site_fract_z
Tc1 Tc 0.0000 0.0000 0.0000
Sn1 Sn 0.1531 0.3469 0.0000
Pb1 Pb 0.1688 0.6688 0.5000



# Y3PbO | Alexandria via LeMat-Bulk | PBE | optimized geometry
# Theoretical density (g cm⁻³): 4.6
# Energy relative to the elements, uncorrected (kJ/mol of formula units): -356
# Volume (Å³/atom): 35.7
data_Y3PbO
_cell_length_a 3.4339
_cell_length_b 6.5530
_cell_length_c 15.8606
_cell_angle_alpha 90.00
_cell_angle_beta 90.00
_cell_angle_gamma 90.00
_space_group_name_H-M_alt 'A m m 2'
_space_group_IT_number 38
loop_
_space_group_symop_operation_xyz
'x,y,z'
'-x,-y,z'
'-x,y,z'
'x,-y,z'
'x,y+1/2,z+1/2'
'-x,-y+1/2,z+1/2'
'-x,y+1/2,z+1/2'
'x,-y+1/2,z+1/2'
loop_
_atom_site_label
_atom_site_type_symbol
_atom_site_fract_x
_atom_site_fract_y
_atom_site_fract_z
Y1 Y 0.0000 0.0000 0.0000
Y2 Y 0.5000 0.2421 0.8368
Pb1 Pb 0.5000 0.0000 0.1725
O1 O 0.0000 0.0000 0.8452



# Ba2MgTe | Alexandria via LeMat-Bulk | PBE | optimized geometry
# Theoretical density (g cm⁻³): 4.5
# Energy relative to the elements, uncorrected (kJ/mol of formula units): -235
# Volume (Å³/atom): 39.5
data_Ba2MgTe
_cell_length_a 8.5803
_cell_length_b 8.5803
_cell_length_c 8.5803
_cell_angle_alpha 90.00
_cell_angle_beta 90.00
_cell_angle_gamma 90.00
_space_group_name_H-M_alt 'F m -3 m'
_space_group_IT_number 225
_space_group_name_Hall '-F 4 2 3'
loop_
_atom_site_label
_atom_site_type_symbol
_atom_site_fract_x
_atom_site_fract_y
_atom_site_fract_z
Ba1 Ba 0.2500 0.2500 0.2500
Mg1 Mg 0.0000 0.0000 0.0000
Te1 Te 0.0000 0.0000 0.5000



# MnRe4 | Alexandria via LeMat-Bulk | PBE | optimized geometry
# Energy of formation from the pure elements (eV/f.u.): 3.24
# Theoretical density (g cm⁻³): 14.5
# Volume (Å³/atom): 18.3
data_MnRe4
_cell_length_a 4.1327
_cell_length_b 4.1327
_cell_length_c 10.7356
_cell_angle_alpha 90.00
_cell_angle_beta 90.00
_cell_angle_gamma 90.00
_space_group_name_H-M_alt 'I 4/m m m'
_space_group_IT_number 139
_space_group_name_Hall '-I 4 2'
loop_
_atom_site_label
_atom_site_type_symbol
_atom_site_fract_x
_atom_site_fract_y
_atom_site_fract_z
Mn1 Mn 0.0000 0.0000 0.0000
Re1 Re 0.0000 0.0000 0.3835
Re2 Re 0.0000 0.5000 0.2500